1.
PmNd2ErSb4 | PBE-GGA | relaxed

Properties
formation energy from raw total energies	-1.159	eV per atom
energy	-5.576	eV/atom
space group	No. 10
total magnetization	0.00	μB per atom

Cell and atoms, written as POSCAR:
```
PmNd2ErSb4
1.0
-4.0360 -1.7605 -0.8154
3.1003 -7.1007 -0.0153
-0.1786 -2.9154 7.1784
Nd Pm Sb Er
2 1 4 1
Cartesian
-0.1786 -2.9154 7.1784
-2.1073 -2.3379 3.1815
-0.4678 -4.4306 -0.4153
2.1759 -7.4686 5.3547
0.2363 -6.8969 1.4243
-3.2902 -4.3079 0.9930
-1.3505 -4.8797 4.9234
1.4609 -5.0080 3.5816
```



2.
Tb5NdDy2Tm | PBE-GGA | relaxed

Properties
formation enthalpy at 0 K	15.09	kJ/mol of atoms
energy	-4.465	eV/atom
space group	No. 36
total magnetization	0.00	μB per atom

Cell and atoms, written as POSCAR:
```
Tb5NdDy2Tm
1.0
5.6179 0.0000 0.0000
-2.8089 9.9182 0.0000
0.0000 0.0000 10.5566
Dy Tb Tm Nd
4 10 2 2
Cartesian
2.8089 7.6588 8.6338
0.0000 2.2175 7.7560
0.0000 2.2594 3.3555
2.8089 7.7008 2.4777
0.0000 0.3578 0.2383
2.8089 4.3468 8.5908
2.8089 2.2764 5.5098
0.0000 5.9143 7.4788
2.8089 4.0040 2.2005
2.8089 0.4075 2.5191
0.0000 9.5108 7.7974
2.8089 9.5604 5.5166
0.0000 5.5714 3.3126
0.0000 7.6418 0.2315
2.8089 5.9629 5.4055
0.0000 3.9553 0.1272
2.8089 1.6846 10.0708
0.0000 8.2336 4.7925
```



3.
EuTmGa | PBE-GGA | relaxed

Properties
polymorph energy (0 for the lowest one)	145	meV per atom
formation enthalpy at 0 K	-16.26	kJ/mol of atoms
energy	-6.093	eV/atom
space group	No. 216
total magnetization	2.38	μB per atom

Cell and atoms, written as POSCAR:
```
EuTmGa
1.0
5.0739 0.0000 0.0000
2.5369 4.3941 0.0000
2.5369 1.4647 4.1428
Eu Ga Tm
1 1 1
Cartesian
0.0000 0.0000 0.0000
2.5369 1.4647 1.0357
5.0739 2.9294 2.0714
```



4.
Sm2Ho12In | PBE-GGA | relaxed

Properties
formation enthalpy at 0 K	5.38	kJ/mol of atoms
energy	-4.418	eV/atom
space group	No. 10
total magnetization	0.00	μB per atom

Cell and atoms, written as POSCAR:
```
Sm2Ho12In
1.0
6.4782 -1.4727 0.2188
-1.4727 6.4782 0.2188
1.0347 1.0347 23.7878
Sm Ho In
4 24 2
Cartesian
0.1682 4.1436 17.5987
1.8966 5.8720 6.6268
4.1422 0.1668 17.5978
5.8734 1.8979 6.6277
2.3396 2.3368 13.3808
1.6457 1.6463 1.7656
1.3096 5.2851 21.0724
5.0730 5.0753 8.1952
1.5790 5.5545 13.9256
3.4700 3.4677 16.2491
5.2851 1.3097 21.0748
4.4591 0.4836 10.3069
1.8917 1.8911 22.2410
0.2324 0.2338 4.6284
2.7365 2.7352 4.8473
5.8064 5.8077 19.5970
3.3050 3.3036 19.3782
3.7034 3.7006 10.8447
4.1490 4.1485 1.9845
0.9649 0.9672 16.0303
0.7551 4.7306 3.1530
5.5566 1.5811 13.9186
2.5725 2.5702 7.9763
1.1978 1.2006 10.6259
4.7305 0.7551 3.1506
4.3939 4.3945 22.4598
0.4857 4.4612 10.2999
4.8396 4.8423 13.5996
1.7657 5.7411 0.3288
0.2991 4.2745 23.8967
```



5.
CeMg5Sc4 | PBE-GGA | relaxed

Properties
formation enthalpy at 0 K	-1.18	kJ/mol of atoms
energy	-3.935	eV/atom
space group	No. 123
total magnetization	0.08	μB per atom

Cell and atoms, written as POSCAR:
```
CeMg5Sc4
1.0
3.5638 0.0000 0.0000
0.0000 3.5638 0.0000
0.0000 0.0000 19.0267
Sc Mg Ce
4 5 1
Cartesian
0.0000 0.0000 7.6992
0.0000 0.0000 14.9447
0.0000 0.0000 4.0820
0.0000 0.0000 11.3275
1.7819 1.7819 2.2425
1.7819 1.7819 16.7842
1.7819 1.7819 5.8823
1.7819 1.7819 13.1444
1.7819 1.7819 9.5133
0.0000 0.0000 0.0000
```



6.
MgRh2Se | PBE-GGA | relaxed

Properties
formation energy from raw total energies	0.033	eV per atom
energy	-4.912	eV/atom
space group	No. 65
total magnetization	0.00	μB per atom

Cell and atoms, written as POSCAR:
```
MgRh2Se
1.0
2.9063 0.0121 0.0000
-1.3304 2.5840 0.0000
0.0000 0.0000 8.5414
Se Rh Mg
1 2 1
Cartesian
0.7880 1.2980 2.1353
0.0000 0.0000 0.0319
0.0000 0.0000 4.2388
0.7880 1.2980 6.4060
```